1.
Compound: Ca2SmTl3
Source: the Alexandria database
Functional: GGA-PBE
Structure: optimized geometry

Calculated values
SG	P4/mmm
formation energy	-0.42	eV per atom

Unit cell a=3.8617 b=3.8617 c=11.7209 alpha=90.00 beta=90.00 gamma=90.00
With the nearest neighbours (Å) after each atom.
Element x y z (fractional)
Ca: 0.5000 0.5000 0.8354  8 Tl 3.34-3.37
Ca: 0.5000 0.5000 0.1646  8 Tl 3.34-3.37
Sm: 0.5000 0.5000 0.5000  8 Tl 3.35
Tl: 0.0000 0.0000 0.6662  4 Sm 3.35, 4 Ca 3.37
Tl: 0.0000 0.0000 0.0000  8 Ca 3.34
Tl: 0.0000 0.0000 0.3338  4 Sm 3.35, 4 Ca 3.37



2.
Compound: CaSm2Tl6
Source: the Alexandria database
Functional: GGA-PBE
Structure: optimized geometry

Calculated values
SG	C2/m
formation energy	-0.21	eV per atom

Unit cell a=3.5821 b=9.3805 c=11.5909 alpha=113.88 beta=128.64 gamma=89.99
With the nearest neighbours (Å) after each atom.
Element x y z (fractional)
Tl: 0.5000 0.3336 0.9999  3 Tl 3.07-3.12
Tl: 0.7370 0.6660 0.6623  3 Tl 3.04-3.10, 1 Sm 3.37, 1 Ca 3.39
Tl: 0.7365 0.9962 0.6622  3 Tl 3.05-3.10, 1 Sm 3.37, 1 Ca 3.39
Tl: 0.5000 0.6664 0.0001  3 Tl 3.07-3.12
Tl: 0.2635 0.0038 0.3378  3 Tl 3.05-3.10, 1 Sm 3.37, 1 Ca 3.39
Tl: 0.2630 0.3340 0.3377  3 Tl 3.04-3.10, 1 Sm 3.37, 1 Ca 3.39
Ca: 0.0000 0.0000 0.0000  12 Tl 3.39-3.68, 2 Ca 3.58
Sm: 0.3530 0.3373 0.6745  10 Tl 3.37-3.70, 2 Sm 3.58
Sm: 0.6470 0.6627 0.3255  10 Tl 3.37-3.70, 2 Sm 3.58